Below is a geometry-optimized CaPm2Ru structure, with properties calculated at the PBE-GGA level.

As for the total energy: -0.3871 Ry/atom. The energy of formation comes out at -0.072 eV per atom. As for the magnetization: 0.00 μB/f.u. The calculation puts the distance to the lowest polymorph of the same formula at 67 meV/atom.

The structure belongs to space group P-1 (No. 2); the cell edges are 4.097, 4.100 and 9.162 Å and the angles 89.72°, 89.86° and 60.12°. The asymmetric unit holds Ca at (0.000, 0.000, 0.000), Pm at (0.333, 0.335, 0.338) and Ru at (0.000, 0.000, 0.500).